1.
Computed, not measured: LiZrP3 after structural relaxation at the PBE level of DFT.

Unit cell a=5.036 b=5.036 c=5.036 alpha=90.00 beta=90.00 gamma=90.00
Positions (direct):
1 P 0.500 0.000 0.000
2 P 0.000 0.000 0.500
3 P 0.000 0.500 0.000
4 Zr 0.000 0.000 0.000
5 Li 0.500 0.500 0.500

Summary:
- energy relative to the lowest polymorph listed for this composition (eV per atom) = 0.000
- calculated volume (Å³ per atom) = 25.5
- ΔH_f (0 K) (eV/atom) = 0.111

---

2.
Computed, not measured: LiZrP2 after structural relaxation at the PBE level of DFT.

Unit cell a=3.526 b=2.829 c=7.186 alpha=73.49 beta=90.00 gamma=90.00
Positions (direct):
1 P 0.000 0.553 0.492
2 P 0.000 0.947 0.008
3 Zr 0.500 0.250 0.250
4 Li 0.500 0.750 0.750

Summary:
- energy relative to the lowest polymorph listed for this composition (eV per atom) = 0.194
- calculated volume (Å³ per atom) = 17.2
- ΔH_f (0 K) (eV/atom) = -0.633

---

3.
Computed, not measured: LiZrP2 after structural relaxation at the PBE level of DFT.

Unit cell a=3.375 b=3.375 c=5.400 alpha=90.00 beta=90.00 gamma=90.00
Positions (direct):
1 Li 0.500 0.500 0.750
2 P 0.000 0.000 0.523
3 P 0.000 0.000 0.977
4 Zr 0.500 0.500 0.250

Summary:
- energy relative to the lowest polymorph listed for this composition (eV per atom) = 0.179
- calculated volume (Å³ per atom) = 15.4
- ΔH_f (0 K) (eV/atom) = -0.647

---

4.
Computed, not measured: LiZrP2 after structural relaxation at the PBE level of DFT.

Unit cell a=4.540 b=4.540 c=4.540 alpha=60.00 beta=60.00 gamma=60.00
Positions (direct):
1 Li 0.000 0.000 0.000
2 P 0.750 0.750 0.750
3 P 0.250 0.250 0.250
4 Zr 0.500 0.500 0.500

Summary:
- energy relative to the lowest polymorph listed for this composition (eV per atom) = 0.270
- calculated volume (Å³ per atom) = 16.5
- ΔH_f (0 K) (eV/atom) = -0.557

---

5.
Computed, not measured: LiZrP2 after structural relaxation at the PBE level of DFT.

Unit cell a=3.835 b=3.835 c=5.802 alpha=70.70 beta=70.70 gamma=60.00
Positions (direct):
1 P 0.097 0.097 0.708
2 P 0.243 0.243 0.272
3 Zr 0.671 0.671 0.988
4 Li 0.490 0.490 0.531

Summary:
- energy relative to the lowest polymorph listed for this composition (eV per atom) = 0.000
- calculated volume (Å³ per atom) = 17.1
- ΔH_f (0 K) (eV/atom) = -0.826

---

6.
Computed, not measured: LiZrP2 after structural relaxation at the PBE level of DFT.

Unit cell a=7.140 b=4.822 c=2.839 alpha=86.50 beta=71.63 gamma=130.35
Positions (direct):
1 Li 0.500 0.500 0.000
2 Zr 0.000 0.500 0.500
3 P 0.000 0.000 0.000
4 P 0.500 0.000 0.500

Summary:
- energy relative to the lowest polymorph listed for this composition (eV per atom) = 0.256
- calculated volume (Å³ per atom) = 16.4
- ΔH_f (0 K) (eV/atom) = -0.570